VASP calculation (PBE) on a relaxed structure of AcPmThCd.

POSCAR file:
```
AcPmThCd
1.0
-2.454 4.213 2.929
-2.532 -1.094 4.975
2.343 1.834 4.848
Cd Th Pm Ac
1 1 1 1
direct
0.750 0.750 0.750
0.500 0.500 0.500
0.000 0.000 0.000
0.250 0.250 0.250
```

Values from the calculation:
- DFT formation energy (meV per atom) = 131
- magnetization (μB/atom) = 0.000
- uncorrected energy (eV per cell) = -16.67
- crystal system = cubic
- density (g/cm³) = 9.1